Record 1
# RbCaMn2Sb, relaxed, DFT GGA-PBE
# ΔE_f (raw)	1.523	eV/atom
data_RbCaMn2Sb
_cell_length_a 4.867
_cell_length_b 4.867
_cell_length_c 6.198
_cell_angle_alpha 90.00
_cell_angle_beta 90.00
_cell_angle_gamma 90.00
_space_group_name_H-M_alt 'P 4/m m m'
_space_group_IT_number 123
_space_group_name_Hall '-P 4 2'
loop_
_atom_site_label
_atom_site_fract_x
_atom_site_fract_y
_atom_site_fract_z
Rb1 0.000 0.000 0.000
Ca1 0.500 0.500 0.500
Mn1 0.000 0.500 0.000
Sb1 0.000 0.000 0.500



Record 2
# TbBiPbAu, relaxed, DFT GGA-PBE
# energy of formation from the pure elements	-0.3435	eV per atom
data_TbBiPbAu
_cell_length_a 7.590
_cell_length_b 7.590
_cell_length_c 7.590
_cell_angle_alpha 90.00
_cell_angle_beta 90.00
_cell_angle_gamma 90.00
_space_group_name_H-M_alt 'F -4 3 m'
_space_group_IT_number 216
_space_group_name_Hall 'F -4 2 3'
loop_
_atom_site_label
_atom_site_fract_x
_atom_site_fract_y
_atom_site_fract_z
Tb1 0.000 0.000 0.000
Bi1 0.250 0.250 0.250
Pb1 0.000 0.000 0.500
Au1 0.250 0.250 0.750



Record 3
# YFe2CuSb, relaxed, DFT GGA-PBE
# ΔE_f (raw)	1.625	eV/atom
data_YFe2CuSb
_cell_length_a 4.761
_cell_length_b 4.761
_cell_length_c 5.697
_cell_angle_alpha 90.00
_cell_angle_beta 90.00
_cell_angle_gamma 90.00
_space_group_name_H-M_alt 'P 4/m m m'
_space_group_IT_number 123
_space_group_name_Hall '-P 4 2'
loop_
_atom_site_label
_atom_site_fract_x
_atom_site_fract_y
_atom_site_fract_z
Y1 0.000 0.000 0.000
Fe1 0.000 0.500 0.000
Cu1 0.500 0.500 0.500
Sb1 0.000 0.000 0.500



no.,E (eV/cell),total magnetization (μB per cell)
1,-17.8,8.00
2,-67.5,0.00
3,-23.5,4.86